A plane-wave DFT calculation with PBE was carried out for WAu2Se after structural relaxation.

Summary:
M_tot	0.0	Bohr magnetons per cell
formation energy (no corrections)	0.120	eV per atom
crystal system	trigonal

abc: 9.766 9.766 9.766
angles: 17.96 17.96 17.96
Positions (direct):
W (0.000, 0.000, 0.000)
Au (0.255, 0.255, 0.255)
Au (0.507, 0.507, 0.507)
Se (0.729, 0.729, 0.729)

A plane-wave DFT calculation with PBE was carried out for WAu2Se after structural relaxation.

Summary:
M_tot	0.5	Bohr magnetons per cell
formation energy (no corrections)	0.793	eV per atom
crystal system	tetragonal

abc: 5.481 5.481 5.481
angles: 138.49 138.49 60.15
Positions (direct):
W (0.000, 0.000, 0.000)
Au (0.250, 0.750, 0.500)
Au (0.750, 0.250, 0.500)
Se (0.500, 0.500, 0.000)

A plane-wave DFT calculation with PBE was carried out for WAuSe2 after structural relaxation.

Summary:
M_tot	0.0	Bohr magnetons per cell
formation energy (no corrections)	0.285	eV per atom
crystal system	orthorhombic

abc: 6.930 6.930 6.930
angles: 154.31 145.71 43.34
Positions (direct):
W (0.000, 0.000, 0.000)
Au (0.210, 0.710, 0.500)
Se (0.560, 0.560, 0.000)
Se (0.848, 0.348, 0.500)

A plane-wave DFT calculation with PBE was carried out for WAuSe4 after structural relaxation.

Summary:
M_tot	3.2	Bohr magnetons per cell
formation energy (no corrections)	1.276	eV per atom
crystal system	cubic

abc: 5.590 5.590 5.590
angles: 60.00 60.00 60.00
Positions (direct):
W (0.000, 0.000, 0.000)
Au (0.750, 0.750, 0.750)
Se (0.375, 0.375, 0.375)
Se (0.375, 0.375, 0.875)
Se (0.375, 0.875, 0.375)
Se (0.875, 0.375, 0.375)

A plane-wave DFT calculation with PBE was carried out for W3AuSe after structural relaxation.

Summary:
M_tot	0.0	Bohr magnetons per cell
formation energy (no corrections)	2.763	eV per atom
crystal system	cubic

abc: 4.879 4.879 4.879
angles: 90.00 90.00 90.00
Positions (direct):
W (0.000, 0.000, 0.500)
W (0.000, 0.500, 0.000)
W (0.500, 0.000, 0.000)
Au (0.000, 0.000, 0.000)
Se (0.500, 0.500, 0.500)

A plane-wave DFT calculation with PBE was carried out for WAuSe2 after structural relaxation.

Summary:
M_tot	0.0	Bohr magnetons per cell
formation energy (no corrections)	0.526	eV per atom
crystal system	monoclinic

abc: 2.686 4.522 6.356
angles: 90.00 90.19 90.00
Positions (direct):
W (0.000, 0.000, 0.000)
Au (0.000, 0.000, 0.500)
Se (0.002, 0.500, 0.228)
Se (0.998, 0.500, 0.772)

Quick rundown of D(E_F), same order as above: 4.02, 4.24, 2.45, 4.43, 9.09, 2.40 states/eV/cell
Quick rundown of total DFT energy (no corrections), same order as above: -5.628, -4.955, -5.515, -3.752, -6.361, -5.274 eV/atom